Entry from Alexandria via LeMat-Bulk: a relaxed Pa4P2PtS crystal (PBE).

As for the raw total energy: -68.69 eV for the cell shown.

The space group is P2/m (No. 10) and the conventional cell measures 6.954, 3.844 and 7.064 Å, with angles of 90.00, 108.56 and 90.00 degrees. The distinct sites, in fractional coordinates, are Pa at (0.246, 0.000, 0.255), Pa at (0.249, 0.500, 0.747), P at (0.000, 0.000, 0.500), P at (0.500, 0.500, 0.500), Pt at (0.500, 0.000, 0.000) and S at (0.000, 0.500, 0.000).

***

Entry from Alexandria via LeMat-Bulk: a relaxed Pa4PPtSe2 crystal (PBE).

As for the raw total energy: -65.46 eV for the cell shown.

The space group is P2/m (No. 10) and the conventional cell measures 7.124, 3.904 and 7.189 Å, with angles of 90.00, 108.31 and 90.00 degrees. The distinct sites, in fractional coordinates, are Pa at (0.231, 0.000, 0.249), Pa at (0.235, 0.500, 0.736), P at (0.000, 0.000, 0.500), Pt at (0.000, 0.500, 0.000), Se at (0.500, 0.000, 0.000) and Se at (0.500, 0.500, 0.500).

***

Entry from Alexandria via LeMat-Bulk: a relaxed PaTcPPt crystal (PBE).

The formation energy is -0.24 eV per atom.

The space group is Pmmm (No. 47) and the conventional cell measures 3.516, 4.677 and 4.785 Å, with angles of 90.00, 90.00 and 90.00 degrees. The distinct sites, in fractional coordinates, are Pa at (0.000, 0.000, 0.000), Tc at (0.500, 0.500, 0.000), P at (0.500, 0.500, 0.500) and Pt at (0.500, 0.000, 0.500).

***

Entry from Alexandria via LeMat-Bulk: a relaxed PuPaP2 crystal (PBE).

Its energy above the lowest structure with this stoichiometry is 287 meV per atom. The formation energy is -0.97 eV per atom.

The space group is P4/mmm (No. 123) and the conventional cell measures 3.409, 3.409 and 6.865 Å, with angles of 90.00, 90.00 and 90.00 degrees. The distinct sites, in fractional coordinates, are Pu at (0.000, 0.000, 0.000), Pa at (0.000, 0.000, 0.500) and P at (0.500, 0.500, 0.257).

***

Entry from Alexandria via LeMat-Bulk: a relaxed PuPa4P5 crystal (PBE).

The formation energy is -1.30 eV per atom.

The space group is I4/m (No. 87) and the conventional cell measures 8.884, 8.884 and 5.619 Å, with angles of 90.00, 90.00 and 90.00 degrees. The distinct sites, in fractional coordinates, are Pu at (0.000, 0.000, 0.000), Pa at (0.100, 0.299, 0.500), P at (0.000, 0.000, 0.500) and P at (0.100, 0.301, 0.000).

***

Entry from Alexandria via LeMat-Bulk: a relaxed PuPa5P6 crystal (PBE).

The formation energy is -1.31 eV per atom.

The space group is C2/m (No. 12) and the conventional cell measures 6.881, 11.911 and 6.879 Å, with angles of 90.00, 109.44 and 90.00 degrees. The distinct sites, in fractional coordinates, are Pu at (0.000, 0.000, 0.000), Pa at (0.000, 0.166, 0.500), Pa at (0.000, 0.333, 0.000), Pa at (0.000, 0.500, 0.500), P at (0.249, 0.500, 0.250) and P at (0.250, 0.167, 0.250).

***

Entry from Alexandria via LeMat-Bulk: a relaxed PuPaP2 crystal (PBE).

Its energy above the lowest structure with this stoichiometry is 0 meV per atom. The formation energy is -1.26 eV per atom.

The space group is R-3m (No. 166, hexagonal axes) and the conventional cell measures 3.9905, 3.9905 and 19.4192 Å, with angles of 90.00, 90.00 and 120.00 degrees. The distinct sites, in fractional coordinates, are Pu at (0.0000, 0.0000, 0.0000), Pa at (0.0000, 0.0000, 0.5000) and P at (0.0000, 0.0000, 0.2494).

***

Entry from Alexandria via LeMat-Bulk: a relaxed PuPaP2 crystal (PBE).

Its energy above the lowest structure with this stoichiometry is 192 meV per atom. The formation energy is -1.07 eV per atom.

The space group is R3m (No. 160, hexagonal axes) and the conventional cell measures 3.8706, 3.8706 and 20.8641 Å, with angles of 90.00, 90.00 and 120.00 degrees. The distinct sites, in fractional coordinates, are Pu at (0.0000, 0.0000, 0.0000), Pa at (0.0000, 0.0000, 0.1731), P at (0.0000, 0.0000, 0.4202) and P at (0.0000, 0.0000, 0.5881).

***

Entry from Alexandria via LeMat-Bulk: a relaxed PuPaP2 crystal (PBE).

Its energy above the lowest structure with this stoichiometry is 250 meV per atom. The formation energy is -1.01 eV per atom.

The space group is P-3m1 (No. 164) and the conventional cell measures 4.0215, 4.0215 and 6.6575 Å, with angles of 90.00, 90.00 and 120.00 degrees. The distinct sites, in fractional coordinates, are Pu at (0.0000, 0.0000, 0.0000), Pa at (0.0000, 0.0000, 0.5000) and P at (0.3333, 0.6667, 0.2537).

***

Entry from Alexandria via LeMat-Bulk: a relaxed Pu5PaP6 crystal (PBE).

The formation energy is -1.17 eV per atom.

The space group is C2/m (No. 12) and the conventional cell measures 6.926, 11.993 and 6.881 Å, with angles of 90.00, 109.62 and 90.00 degrees. The distinct sites, in fractional coordinates, are Pu at (0.000, 0.000, 0.000), Pu at (0.000, 0.166, 0.500), Pu at (0.000, 0.333, 0.000), Pa at (0.000, 0.500, 0.500), P at (0.248, 0.500, 0.251) and P at (0.249, 0.334, 0.750).

***

Entry from Alexandria via LeMat-Bulk: a relaxed Pu2PaP4 crystal (PBE).

The formation energy is -0.93 eV per atom.

The space group is Cmcm (No. 63) and the conventional cell measures 4.075, 13.452 and 11.357 Å, with angles of 90.00, 90.00 and 90.00 degrees. The distinct sites, in fractional coordinates, are Pu at (0.000, 0.134, 0.060), Pa at (0.000, 0.397, 0.250), P at (0.000, 0.023, 0.250), P at (0.000, 0.234, 0.651) and P at (0.000, 0.500, 0.000).

***

Entry from Alexandria via LeMat-Bulk: a relaxed PuPaP3 crystal (PBE).

The formation energy is -0.59 eV per atom.

The space group is Cmmm (No. 65) and the conventional cell measures 5.510, 18.157 and 5.277 Å, with angles of 90.00, 90.00 and 90.00 degrees. The distinct sites, in fractional coordinates, are Pu at (0.000, 0.201, 0.000), Pa at (0.000, 0.382, 0.500), P at (0.000, 0.358, 0.000), P at (0.193, 0.000, 0.500) and P at (0.250, 0.250, 0.500).

***

no.,DOS at the Fermi energy (states/eV per cell),total magnetic moment (μB/cell)
1,13.1,0.0
2,13.5,0.0
3,3.2,0.0
4,9.4,5.9
5,30.7,9.8
6,31.6,9.8
7,23.1,16.0
8,25.5,15.1
9,9.1,6.2
10,94.5,10.3
11,64.5,43.7
12,49.1,22.0